# 1
First-principles (PBEsol) data for a relaxed Ta2Mo3 crystal, as listed in Alexandria via LeMat-Bulk.

The structure in POSCAR format:
```
Ta2Mo3
1.0
-1.7754 2.3261 3.4292
1.6905 -0.4642 4.1531
2.8927 4.0395 1.7206
Mo Ta
3 2
Cartesian
2.2714 3.9661 4.4118
0.5364 1.9353 4.8911
0.0000 0.0000 0.0000
1.6888 3.9379 7.0924
1.1190 1.9635 2.2105
```

Results
* VASP energy: -60.97 eV/f.u.
* ΔE_f: -0.113 eV/atom
* crystal system: trigonal
* DOS at the Fermi energy: 2.45 states/eV/f.u.
* symmetry: No. 166
* excess energy over the best structure of this formula in the dataset: 73 meV/atom



# 2
First-principles (PBEsol) data for a relaxed Sr2MnCoS crystal, as listed in Alexandria via LeMat-Bulk.

The structure in POSCAR format:
```
Sr2MnCoS
1.0
-0.1831 3.6909 1.5770
-5.6138 0.1327 -0.9623
-0.9361 -2.2473 5.1509
Sr S Mn Co
2 1 1 1
Cartesian
-0.4681 -1.1236 2.5754
-2.8069 0.0663 -0.4812
-0.0916 1.8455 0.7885
-3.3665 0.7882 2.8828
0.0000 0.0000 0.0000
```

Results
* VASP energy: -25.01 eV/f.u.
* energy relative to the elements, uncorrected: 10.7 kJ/mol of atoms
* crystal system: tetragonal
* DOS at the Fermi energy: 5.13 states/eV/f.u.
* symmetry: No. 123



# 3
First-principles (PBEsol) data for a relaxed MgTc3Hg crystal, as listed in Alexandria via LeMat-Bulk.

The structure in POSCAR format:
```
MgTc3Hg
1.0
-0.5881 -2.3070 4.3527
-3.2577 -3.1062 -2.0865
3.6954 -3.1054 -1.1466
Mg Hg Tc
1 1 3
Cartesian
-0.0752 -4.2593 0.5598
0.0000 0.0000 0.0000
-1.6288 -1.5531 -1.0432
1.8477 -1.5527 -0.5733
-0.2940 -1.1535 2.1764
```

Results
* VASP energy: -23.67 eV/f.u.
* ΔE_f: 2.483 eV/atom
* crystal system: cubic
* DOS at the Fermi energy: 8.27 states/eV/f.u.
* symmetry: No. 221



# 4
First-principles (PBEsol) data for a relaxed HfRuPbBr2 crystal, as listed in Alexandria via LeMat-Bulk.

The structure in POSCAR format:
```
HfRuPbBr2
1.0
4.8040 0.0000 0.0000
0.0000 4.8040 0.0000
0.0000 0.0000 5.3636
Pb Ru Hf Br
1 1 1 2
Cartesian
0.0000 0.0000 2.6818
0.0000 0.0000 0.0000
2.4020 2.4020 2.6818
0.0000 2.4020 0.0000
2.4020 0.0000 0.0000
```

Results
* VASP energy: -24.48 eV/f.u.
* energy relative to the elements, uncorrected: 75.9 kJ/mol of atoms
* crystal system: tetragonal
* DOS at the Fermi energy: 7.42 states/eV/f.u.
* symmetry: No. 123



# 5
First-principles (PBEsol) data for a relaxed CrFe2Ag crystal, as listed in Alexandria via LeMat-Bulk.

The structure in POSCAR format:
```
CrFe2Ag
1.0
2.5189 -0.0037 0.0000
-0.8137 2.3838 0.0000
0.0000 0.0000 8.3209
Ag Cr Fe
1 1 2
Cartesian
0.0000 0.0000 4.1804
0.8526 1.1900 1.8642
0.0000 0.0000 0.0039
0.8526 1.1900 6.4329
```

Results
* VASP energy: -30.09 eV/f.u.
* ΔE_f: 0.348 eV/atom
* crystal system: orthorhombic
* DOS at the Fermi energy: 3.27 states/eV/f.u.
* symmetry: No. 35
* excess energy over the best structure of this formula in the dataset: 12 meV/atom



# 6
First-principles (PBEsol) data for a relaxed ZrSiRu crystal, as listed in Alexandria via LeMat-Bulk.

The structure in POSCAR format:
```
ZrSiRu
1.0
3.6665 0.0000 0.0000
0.0000 6.6384 0.0000
0.0000 -3.3192 5.7490
Zr Si Ru
3 3 3
Cartesian
1.8332 3.8845 0.0000
1.8332 1.3769 2.3849
1.8332 -1.9423 3.3641
1.8332 0.0000 0.0000
0.0000 0.0000 3.8327
0.0000 3.3192 1.9163
0.0000 -0.8106 1.4040
0.0000 2.5086 4.3450
0.0000 1.6212 0.0000
```

Results
* VASP energy: -27.94 eV/f.u.
* energy relative to the elements, uncorrected: -94.3 kJ/mol of atoms
* crystal system: hexagonal
* DOS at the Fermi energy: 1.51 states/eV/f.u.
* symmetry: No. 189



# 7
First-principles (PBEsol) data for a relaxed CrSiHgF2 crystal, as listed in Alexandria via LeMat-Bulk.

The structure in POSCAR format:
```
CrSiHgF2
1.0
3.8262 0.0000 0.0000
0.0000 3.8262 0.0000
0.0000 0.0000 5.3138
Cr Si Hg F
1 1 1 2
Cartesian
0.0000 0.0000 0.0000
0.0000 0.0000 2.6569
1.9131 1.9131 2.6569
0.0000 1.9131 0.0000
1.9131 0.0000 0.0000
```

Results
* VASP energy: -25.82 eV/f.u.
* energy relative to the elements, uncorrected: -104.4 kJ/mol of atoms
* crystal system: tetragonal
* DOS at the Fermi energy: 1.49 states/eV/f.u.
* symmetry: No. 123



# 8
First-principles (PBEsol) data for a relaxed Li2Hf2Se crystal, as listed in Alexandria via LeMat-Bulk.

The structure in POSCAR format:
```
Li2Hf2Se
1.0
-4.7950 -0.5591 -0.4836
0.9030 -4.0218 -4.3039
0.0951 -4.3437 4.0789
Hf Se Li
4 2 4
Cartesian
-2.1782 -3.8909 1.7589
-1.7119 -6.5787 0.2426
-1.6187 -5.0336 -2.4675
-2.0850 -2.3458 -0.9512
0.0000 0.0000 0.0000
0.4990 -4.1827 -0.1125
0.4119 -5.2261 1.9573
0.8415 -6.2370 -1.1336
0.5861 -3.1394 -2.1823
0.1565 -2.1284 0.9086
```

Results
* VASP energy: -29.12 eV/f.u.
* energy relative to the elements, uncorrected: -6.3 kJ/mol of atoms
* crystal system: tetragonal
* DOS at the Fermi energy: 2.38 states/eV/f.u.
* symmetry: No. 127



Please write out number 5 again, unchanged.
First-principles (PBEsol) data for a relaxed CrFe2Ag crystal, as listed in Alexandria via LeMat-Bulk.

The structure in POSCAR format:
```
CrFe2Ag
1.0
2.5189 -0.0037 0.0000
-0.8137 2.3838 0.0000
0.0000 0.0000 8.3209
Ag Cr Fe
1 1 2
Cartesian
0.0000 0.0000 4.1804
0.8526 1.1900 1.8642
0.0000 0.0000 0.0039
0.8526 1.1900 6.4329
```

Results
* VASP energy: -30.09 eV/f.u.
* ΔE_f: 0.348 eV/atom
* crystal system: orthorhombic
* DOS at the Fermi energy: 3.27 states/eV/f.u.
* symmetry: No. 35
* excess energy over the best structure of this formula in the dataset: 12 meV/atom